# GGA-PBE NaZnCdPt, optimized geometry
data_NaZnCdPt
_chemical_formula_sum 'Na1 Zn1 Cd1 Pt1'
_cell_length_a 4.516
_cell_length_b 4.516
_cell_length_c 6.005
_cell_angle_alpha 67.91
_cell_angle_beta 67.91
_cell_angle_gamma 60.00
_space_group_name_H-M_alt 'P 1'
_space_group_IT_number 1
loop_
_space_group_symop_operation_xyz
'x,y,z'
loop_
_atom_site_label
_atom_site_fract_x
_atom_site_fract_y
_atom_site_fract_z
Na1 0.799 0.799 0.604
Zn1 0.605 0.605 0.186
Cd1 0.349 0.349 0.953
Pt1 0.974 0.974 0.078
# Energy of formation, eV/atom: -0.1785
# Space group: R3m
# N(E_F), states/eV per cell: 1.2